Computed, not measured: crystalline NpNiPb2O8 at its relaxed geometry at the PBE with a Hubbard U level of DFT.

Summary:
Total magnetic moment ... 3.0 μB per formula unit
ρ ... 8.312 Mg/m³
Raw total energy ... -6.70 eV per atom
Space group ... No. 2
Calculated volume ... 167 Å³/cell

Cell: 5.062 5.067 6.528 Å, 89.90 89.89 89.67°
Sites, in units of the cell vectors:
Np 0.000 0.000 0.000
Ni 0.000 0.000 0.500
Pb 0.499 0.500 0.259
Pb 0.501 0.500 0.741
O 0.183 0.182 0.237
O 0.184 0.182 0.763
O 0.294 0.705 0.500
O 0.304 0.694 0.000
O 0.696 0.306 0.000
O 0.706 0.295 0.500
O 0.816 0.818 0.237
O 0.817 0.818 0.763